Record 1
VMo5Rh6, relaxed, DFT PBE; total energy = -9.16 eV/atom; space-group type = Immm (71); crystal system = orthorhombic
1.0
3.733 0.000 -1.044
-2.631 6.404 -2.219
0.023 0.190 7.268
Rh Mo V
6 5 1
Cartesian
1.286 3.923 4.585
2.143 1.624 0.464
0.720 0.606 2.571
0.404 5.988 1.433
-0.161 2.670 -0.581
-1.019 4.969 3.540
-0.860 2.257 4.112
0.562 3.297 2.002
-0.324 5.372 -1.166
1.449 1.222 5.170
-1.748 4.336 0.937
0.000 0.000 0.000

Record 2
V6MoRh, relaxed, DFT PBE; total energy = -9.32 eV/atom; space-group type = Cmmm (65); crystal system = orthorhombic
1.0
4.239 0.000 0.000
0.000 5.035 -1.481
0.000 -0.324 5.238
V Mo Rh
6 1 1
Cartesian
0.000 3.563 2.842
0.000 1.019 3.553
0.000 1.147 0.915
2.119 -0.162 2.619
0.000 3.691 0.203
2.119 2.517 -0.741
2.119 0.000 0.000
2.119 2.355 1.878

Record 3
V4MoRh2, relaxed, DFT PBE; total energy = -7.99 eV/atom; space-group type = I4/mmm (139); crystal system = tetragonal
1.0
4.482 0.000 0.000
0.000 4.482 0.000
2.241 2.241 6.235
V Mo Rh
4 1 2
Cartesian
4.482 4.482 2.458
2.241 2.241 3.776
0.000 2.241 0.000
2.241 0.000 0.000
0.000 0.000 0.000
4.482 4.482 4.809
2.241 2.241 1.426

Record 4
V2MoRh, relaxed, DFT PBE; total energy = -9.12 eV/atom; space-group type = Amm2 (38); crystal system = orthorhombic
1.0
-0.550 -2.372 -1.800
1.909 -1.700 1.658
-5.871 -0.924 3.013
V Rh Mo
2 1 1
Cartesian
-4.803 -2.820 2.638
-1.188 -2.710 1.388
-2.985 -1.077 2.332
-0.704 -0.254 0.550

Record 5
V3MoRh4, relaxed, DFT PBE; total energy = -8.76 eV/atom; space-group type = Pmma (51); crystal system = orthorhombic
1.0
4.673 0.000 0.000
0.000 5.482 0.000
0.000 0.000 8.764
Mo V Rh
2 6 8
Cartesian
0.000 2.741 4.382
0.000 2.741 0.000
3.029 2.741 6.573
3.041 0.000 6.573
0.000 0.000 4.382
1.644 2.741 2.191
1.633 0.000 2.191
0.000 0.000 0.000
0.670 1.348 6.573
2.337 1.355 4.382
2.337 1.355 0.000
2.337 4.127 0.000
4.003 1.348 2.191
0.670 4.134 6.573
4.003 4.134 2.191
2.337 4.127 4.382

Record 6
V3MoRh, relaxed, DFT PBE; offset from the most stable computed form = 167 meV/atom; space-group type = Pnna (52); crystal system = orthorhombic
1.0
5.144 0.000 0.000
0.000 6.478 0.000
0.000 0.000 8.845
Rh V Mo
4 12 4
Cartesian
0.057 0.000 2.211
2.515 3.239 2.211
5.087 0.000 6.634
2.629 3.239 6.634
2.516 5.714 7.426
2.628 0.763 1.419
5.088 4.002 3.003
2.516 0.763 5.841
1.286 4.858 0.614
5.088 2.476 1.419
0.056 4.002 7.426
3.858 1.619 8.231
2.628 5.714 3.003
1.286 1.619 3.808
0.056 2.476 5.841
3.858 4.858 5.036
3.858 1.619 3.920
3.858 4.858 0.502
1.286 1.619 8.343
1.286 4.858 4.924

Record 7
VMo3Rh6, relaxed, DFT PBE; total energy = -8.82 eV/atom; space-group type = P2_1/m (11); crystal system = monoclinic
1.0
-3.352 -2.040 1.991
-0.793 -4.346 -5.790
6.224 -3.375 7.021
Mo Rh V
6 12 2
Cartesian
1.059 -5.538 3.403
1.020 -4.224 -0.181
3.630 -4.659 3.768
4.577 -7.105 2.857
-2.498 -2.657 0.365
-1.550 -5.103 -0.546
-0.784 -2.764 -1.720
0.206 -6.542 0.937
2.794 -5.680 1.315
2.004 -7.957 2.513
2.863 -6.999 4.942
4.492 -3.711 6.191
-0.715 -4.082 1.907
1.907 -4.566 5.826
1.873 -3.220 2.285
0.172 -5.196 -2.604
0.076 -1.805 0.709
-2.413 -6.051 -2.969
1.945 -6.673 -1.132
0.134 -3.089 4.354

Record 8
V3MoRh, relaxed, DFT PBE; offset from the most stable computed form = 0 meV/atom; space-group type = C2/c (15); crystal system = monoclinic
1.0
4.985 0.432 0.536
0.731 7.580 1.172
0.731 -0.472 7.656
V Mo Rh
12 4 4
Cartesian
3.053 1.416 4.707
4.579 2.363 1.822
2.908 2.501 8.273
1.869 5.177 7.542
1.047 -0.225 4.888
5.888 3.459 7.245
3.395 6.124 4.657
2.086 1.060 2.430
5.401 7.765 4.476
3.539 5.039 1.091
0.560 4.081 2.119
4.361 6.480 6.934
4.470 1.405 6.808
1.977 0.223 7.317
4.470 7.317 2.047
1.977 6.136 2.556
5.419 2.642 4.494
2.927 3.611 3.272
3.521 3.929 6.092
1.028 4.898 4.870